# 1
Below is a geometry-optimized Hf2TaGe structure, with properties calculated at the PBE-GGA level.

Geometry as POSCAR:
```
Hf2TaGe
1.0
-1.983 -5.634 -5.030
7.514 -1.997 -0.726
2.500 -5.567 -0.812
Ta Hf Ge
2 4 2
direct
0.000 0.000 0.000
0.750 0.250 0.500
0.875 0.844 0.750
0.156 0.625 0.250
0.594 0.125 0.250
0.375 0.406 0.750
0.500 0.500 0.000
0.250 0.750 0.500
```

Formation energy from the elements, eV per atom: 0.32

---

# 2
Below is a geometry-optimized CePr4Tm8 structure, with properties calculated at the PBE-GGA level.

Geometry as POSCAR:
```
CePr4Tm8
1.0
-6.401 4.392 0.398
-2.470 -3.046 -6.711
-3.601 -5.658 3.929
Pr Tm Ce
4 8 1
direct
0.000 0.500 0.500
0.500 0.500 0.000
0.500 0.000 0.500
0.000 0.000 0.000
0.758 0.758 0.758
0.242 0.242 0.242
0.757 0.241 0.241
0.241 0.241 0.757
0.241 0.757 0.241
0.759 0.759 0.243
0.243 0.759 0.759
0.759 0.243 0.759
0.500 0.500 0.500
```

Formation energy from the elements, eV per atom: 0.54

---

# 3
Below is a geometry-optimized TeBrCl2 structure, with properties calculated at the PBE-GGA level.

Geometry as POSCAR:
```
TeBrCl2
1.0
1.976 0.000 12.966
-0.988 1.711 12.966
-0.988 -1.711 12.966
Te Cl Br
1 2 1
direct
0.000 0.000 0.000
0.062 0.062 0.062
0.938 0.938 0.938
0.500 0.500 0.500
```

Polymorph energy (0 for the lowest one), kJ/mol of atoms: 37.4
ΔE_f (raw), meV per atom: -15

---

# 4
Below is a geometry-optimized MnRh3 structure, with properties calculated at the PBE-GGA level.

Geometry as POSCAR:
```
MnRh3
1.0
2.750 0.000 0.000
0.000 2.750 0.000
0.000 0.000 7.406
Mn Rh
1 3
direct
0.000 0.000 0.000
0.500 0.500 0.240
0.500 0.500 0.760
0.000 0.000 0.500
```

Formation energy from the elements, eV per atom: -0.04

---

# 5
Below is a geometry-optimized BeRu2Rh structure, with properties calculated at the PBE-GGA level.

Geometry as POSCAR:
```
BeRu2Rh
1.0
2.757 0.000 0.000
0.000 2.757 0.000
0.000 0.000 6.532
Be Ru Rh
1 2 1
direct
0.500 0.500 0.250
0.000 0.000 0.462
0.000 0.000 0.038
0.500 0.500 0.750
```

Formation energy from the elements, eV per atom: -0.09

---

# 6
Below is a geometry-optimized Mg2CdB2Pt5 structure, with properties calculated at the PBE-GGA level.

Geometry as POSCAR:
```
Mg2CdB2Pt5
1.0
-1.076 2.469 -1.617
-5.194 -5.953 -5.636
-7.494 0.744 6.120
Mg B Pt Cd
4 4 10 2
direct
0.000 0.323 0.823
0.000 0.823 0.677
0.000 0.677 0.177
0.000 0.177 0.323
0.000 0.376 0.124
0.000 0.124 0.624
0.000 0.876 0.376
0.000 0.624 0.876
0.500 0.725 0.428
0.500 0.572 0.725
0.500 0.000 0.500
0.500 0.928 0.225
0.500 0.775 0.928
0.500 0.275 0.572
0.500 0.428 0.275
0.500 0.500 0.000
0.500 0.225 0.072
0.500 0.072 0.775
0.000 0.500 0.500
0.000 0.000 0.000
```

Formation energy from the elements, eV per atom: -0.49